Entry 1:
Compound: DyUPb2S6
Source: Alexandria via LeMat-Bulk
Functional: PBE-GGA
Structure: relaxed

a = 7.3820 Å, b = 7.3820 Å, c = 7.3820 Å
α = 58.18°, β = 58.18°, γ = 58.18°
With the nearest neighbours (Å) after each atom.
Element x y z (fractional)
Dy (0.0000, 0.0000, 0.0000)  6 S 2.72-2.76
U (0.4973, 0.4973, 0.4973)  6 S 2.62-2.64
Pb (0.2919, 0.2919, 0.2919)  6 S 2.98-3.02
Pb (0.7946, 0.7946, 0.7946)  6 S 2.98-2.99
S (0.1465, 0.7197, 0.3597)  1 U 2.64, 1 Dy 2.72
S (0.2352, 0.6410, 0.8431)  1 U 2.62, 1 Dy 2.76
S (0.3597, 0.1465, 0.7197)  1 U 2.64, 1 Dy 2.72
S (0.6410, 0.8431, 0.2352)  1 U 2.62, 1 Dy 2.76
S (0.7197, 0.3597, 0.1465)  1 U 2.64, 1 Dy 2.72
S (0.8431, 0.2352, 0.6410)  1 U 2.62, 1 Dy 2.76

## Properties
Space group   R3 (146)
Calculated volume   273 Å³/cell
Size of the total moment   0.10 μB/atom
Formation energy without anion corrections   -1155.5 meV/atom
Crystal system   trigonal

---

Entry 2:
Compound: DyYPbS
Source: Alexandria via LeMat-Bulk
Functional: PBE-GGA
Structure: relaxed

a = 3.8036 Å, b = 3.8045 Å, c = 8.4078 Å
α = 77.02°, β = 77.01°, γ = 60.27°
With the nearest neighbours (Å) after each atom.
Element x y z (fractional)
Dy (0.0000, 0.0000, 0.0000)  3 S 2.70
Y (0.2026, 0.2010, 0.3923)  3 S 2.73
Pb (0.4365, 0.4309, 0.6986)  3 Dy 3.29-3.30, 3 Y 3.32-3.33
S (0.6021, 0.6013, 0.1934)  3 Dy 2.70, 3 Y 2.73

## Properties
Space group   P1 (1)
Calculated volume   102 Å³/cell
Size of the total moment   0.00 μB/atom
Formation energy without anion corrections   -1228.7 meV/atom
Crystal system   triclinic

---

Entry 3:
Compound: DySb2Pb
Source: Alexandria via LeMat-Bulk
Functional: PBE-GGA
Structure: relaxed

a = 5.2333 Å, b = 5.2333 Å, c = 4.0989 Å
α = 90.00°, β = 90.00°, γ = 90.00°
With the nearest neighbours (Å) after each atom.
Element x y z (fractional)
Dy (0.0000, 0.0000, 0.0000)  8 Sb 3.32, 4 Pb 3.70
Sb (0.0000, 0.5000, 0.5000)  4 Pb 3.32, 4 Dy 3.32, 4 Sb 3.70
Sb (0.5000, 0.0000, 0.5000)  4 Pb 3.32, 4 Dy 3.32, 4 Sb 3.70
Pb (0.5000, 0.5000, 0.0000)  8 Sb 3.32, 4 Dy 3.70

## Properties
Space group   P4/mmm (123)
Calculated volume   112 Å³/cell
Size of the total moment   0.00 μB/atom
Formation energy without anion corrections   -399.8 meV/atom
Crystal system   tetragonal

---

Entry 4:
Compound: Dy4Sb2Pb
Source: Alexandria via LeMat-Bulk
Functional: PBE-GGA
Structure: relaxed

a = 8.3347 Å, b = 8.3347 Å, c = 8.3347 Å
α = 108.98°, β = 108.98°, γ = 110.47°
With the nearest neighbours (Å) after each atom.
Element x y z (fractional)
Dy (0.1918, 0.2552, 0.5634)  3 Sb 2.99-3.07, 1 Pb 3.10
Dy (0.1918, 0.6284, 0.9366)  3 Sb 2.99-3.07, 1 Pb 3.10
Dy (0.2552, 0.1918, 0.0634)  3 Sb 2.99-3.07, 1 Pb 3.10
Dy (0.3716, 0.8082, 0.5634)  3 Sb 2.99-3.07, 1 Pb 3.10
Dy (0.6284, 0.1918, 0.4366)  3 Sb 2.99-3.07, 1 Pb 3.10
Dy (0.7448, 0.8082, 0.9366)  3 Sb 2.99-3.07, 1 Pb 3.10
Dy (0.8082, 0.3716, 0.0634)  3 Sb 2.99-3.07, 1 Pb 3.10
Dy (0.8082, 0.7448, 0.4366)  3 Sb 2.99-3.07, 1 Pb 3.10
Sb (0.0000, 0.5000, 0.5000)  6 Dy 2.99-3.07
Sb (0.5000, 0.0000, 0.0000)  6 Dy 2.99-3.07
Sb (0.5000, 0.5000, 0.0000)  6 Dy 2.99-3.07
Sb (0.5000, 0.5000, 0.5000)  6 Dy 2.99-3.07
Pb (0.1250, 0.8750, 0.2500)  4 Dy 3.10
Pb (0.8750, 0.1250, 0.7500)  4 Dy 3.10

## Properties
Space group   I4_1/amd (141)
Calculated volume   446 Å³/cell
Size of the total moment   0.00 μB/atom
Formation energy without anion corrections   -675.4 meV/atom
Crystal system   tetragonal

---

Entry 5:
Compound: Dy5Sb4Pb
Source: Alexandria via LeMat-Bulk
Functional: PBE-GGA
Structure: relaxed

a = 7.6465 Å, b = 7.6465 Å, c = 10.8298 Å
α = 118.45°, β = 118.45°, γ = 33.15°
With the nearest neighbours (Å) after each atom.
Element x y z (fractional)
Dy (0.0000, 0.0000, 0.0000)  6 Sb 3.10-3.11
Dy (0.2014, 0.2014, 0.8041)  5 Sb 3.08-3.11, 1 Pb 3.15
Dy (0.3969, 0.3969, 0.6036)  4 Sb 3.07-3.12, 2 Pb 3.16
Dy (0.6031, 0.6031, 0.3964)  4 Sb 3.07-3.12, 2 Pb 3.16
Dy (0.7986, 0.7986, 0.1959)  5 Sb 3.08-3.11, 1 Pb 3.15
Sb (0.2009, 0.2009, 0.2992)  6 Dy 3.07-3.12
Sb (0.4004, 0.4004, 0.0999)  6 Dy 3.08-3.11
Sb (0.5996, 0.5996, 0.9001)  6 Dy 3.08-3.11
Sb (0.7991, 0.7991, 0.7008)  6 Dy 3.07-3.12
Pb (0.0000, 0.0000, 0.5000)  6 Dy 3.15-3.16

## Properties
Space group   C2/m (12)
Calculated volume   300 Å³/cell
Size of the total moment   0.00 μB/atom
Formation energy without anion corrections   -968.6 meV/atom
Crystal system   monoclinic

---

Entry 6:
Compound: Dy4Sb3Pb
Source: Alexandria via LeMat-Bulk
Functional: PBE-GGA
Structure: relaxed

a = 6.2221 Å, b = 6.2221 Å, c = 6.2221 Å
α = 90.00°, β = 90.00°, γ = 90.00°
With the nearest neighbours (Å) after each atom.
Element x y z (fractional)
Dy (0.0000, 0.0000, 0.0000)  6 Sb 3.11
Dy (0.0000, 0.5000, 0.5000)  2 Pb 3.11, 4 Sb 3.11
Dy (0.5000, 0.0000, 0.5000)  2 Pb 3.11, 4 Sb 3.11
Dy (0.5000, 0.5000, 0.0000)  2 Pb 3.11, 4 Sb 3.11
Sb (0.0000, 0.0000, 0.5000)  6 Dy 3.11
Sb (0.0000, 0.5000, 0.0000)  6 Dy 3.11
Sb (0.5000, 0.0000, 0.0000)  6 Dy 3.11
Pb (0.5000, 0.5000, 0.5000)  6 Dy 3.11

## Properties
Space group   Pm-3m (221)
Calculated volume   241 Å³/cell
Size of the total moment   0.00 μB/atom
Formation energy without anion corrections   -923.0 meV/atom
Crystal system   cubic

---

Q: The highest size of the total moment belongs to which entry?
A: DyUPb2S6